1.
Compound: KSeS2Cl
Source: Alexandria via LeMat-Bulk
Functional: PBE-GGA
Structure: optimized geometry

Cell lengths 4.8672, 4.8672, 5.4501 Å; angles 90.00, 90.00, 90.00 degrees
Closest atoms and distances in Å follow each position.
Space group P4/mmm (No. 123)
Symmetry-distinct sites (fractional):
1 K 0.0000 0.0000 0.0000 x1  4 Cl 3.44, 8 S 3.65
2 Se 0.5000 0.5000 0.5000 x1  4 S 2.43, 2 Cl 2.73
3 S 0.0000 0.5000 0.5000 x2  2 Se 2.43
4 Cl 0.5000 0.5000 0.0000 x1  2 Se 2.73

formation energy (no corrections): -0.292 eV per atom
E_tot: -3.23 eV/atom
relative energy among the computed polymorphs: 0.0000 eV per atom

2.
Compound: KSeS2Cl
Source: Alexandria via LeMat-Bulk
Functional: PBE-GGA
Structure: optimized geometry

Cell lengths 5.8970, 5.8970, 5.5753 Å; angles 90.00, 90.00, 90.00 degrees
Closest atoms and distances in Å follow each position.
Space group P4/mmm (No. 123)
Symmetry-distinct sites (fractional):
1 K 0.0000 0.0000 0.0000 x1  2 Cl 2.79, 4 S 2.95
2 Se 0.5000 0.5000 0.5000 x1  8 S 4.06, 4 Cl 4.17
3 S 0.0000 0.5000 0.0000 x2  2 K 2.95
4 Cl 0.0000 0.0000 0.5000 x1  2 K 2.79

formation energy (no corrections): 1.099 eV per atom
E_tot: -1.84 eV/atom
relative energy among the computed polymorphs: 1.3909 eV per atom